The following is a SCAN calculation of a crystal of GaGe3C relaxed with PBEsol, from the Alexandria database.

Cell lengths 4.325, 4.325, 4.325 Å; angles 90.00, 90.00, 90.00 degrees
Positions (direct):
Ge1 0.000 0.500 0.000
Ge2 0.000 0.000 0.500
Ge3 0.500 0.000 0.000
C1 0.000 0.000 0.000
Ga1 0.500 0.500 0.500

Computed properties:
**ΔH_f (0 K)**: 1030 meV/atom
**Density**: 6.15 g/cm3
**Symmetry**: No. 221
**Crystal system**: cubic
**V**: 81 Å³/cell

The following is a SCAN calculation of a crystal of Te4OsRu relaxed with PBEsol, from the Alexandria database.

Cell lengths 5.907, 5.907, 5.907 Å; angles 60.00, 60.00, 60.00 degrees
Last column: magnetic moment on the atom in μB.
Positions (direct):
Os1 0.750 0.750 0.750  2.25
Ru1 0.000 0.000 0.000  2.40
Te1 0.375 0.375 0.375  0.05
Te2 0.375 0.375 0.874  0.05
Te3 0.874 0.375 0.375  0.05
Te4 0.375 0.874 0.375  0.05

Computed properties:
**Density**: 9.14 g/cm3
**Raw formation energy**: 11.57 eV per formula unit
**Symmetry**: No. 216
**Crystal system**: cubic
**V**: 146 Å³/cell

The following is a SCAN calculation of a crystal of Li2CoAs relaxed with PBEsol, from the Alexandria database.

Cell lengths 2.734, 4.680, 4.680 Å; angles 120.37, 90.00, 90.00 degrees
Last column: magnetic moment on the atom in μB.
Positions (direct):
As1 0.500 0.000 0.000  0.03
Co1 0.500 0.500 0.500  1.44
Li1 0.000 0.500 0.000  -0.03
Li2 0.000 0.000 0.500  -0.03

Computed properties:
**ΔH_f (0 K)**: -92 meV/atom
**Density**: 4.75 g/cm3
**Symmetry**: No. 65
**Crystal system**: orthorhombic
**V**: 52 Å³/cell

The following is a SCAN calculation of a crystal of HgSeNF2 relaxed with PBEsol, from the Alexandria database.

Cell lengths 4.372, 4.372, 4.262 Å; angles 90.00, 90.00, 90.00 degrees
Last column: magnetic moment on the atom in μB.
Positions (direct):
N1 0.000 0.000 0.500  -1.14
Hg1 0.000 0.000 0.000  -0.06
Se1 0.500 0.500 0.500  1.15
F1 0.000 0.500 0.000  0.07
F2 0.500 0.000 0.000  0.07

Computed properties:
**Density**: 6.76 g/cm3
**Raw formation energy**: 2.35 eV per formula unit
**Symmetry**: No. 123
**Crystal system**: tetragonal
**V**: 81 Å³/cell

The following is a SCAN calculation of a crystal of BaV2ZnO7 relaxed with PBEsol, from the Alexandria database.

Cell lengths 5.549, 7.446, 15.121 Å; angles 90.00, 90.00, 96.96 degrees
Positions (direct):
Ba1 0.217 0.647 0.784
Ba2 0.717 0.147 0.716
Ba3 0.783 0.353 0.216
Ba4 0.283 0.853 0.284
V1 0.252 0.166 0.868
V2 0.752 0.666 0.632
V3 0.748 0.834 0.132
V4 0.248 0.334 0.368
V5 0.294 0.213 0.063
V6 0.794 0.713 0.437
V7 0.706 0.787 0.937
V8 0.206 0.287 0.563
Zn1 0.297 0.868 0.549
Zn2 0.797 0.368 0.951
Zn3 0.703 0.132 0.451
Zn4 0.203 0.632 0.049
O1 0.256 0.022 0.783
O2 0.756 0.522 0.717
O3 0.744 0.978 0.217
O4 0.244 0.478 0.283
O5 0.245 0.057 0.973
O6 0.745 0.557 0.527
O7 0.755 0.943 0.027
O8 0.255 0.443 0.473
O9 0.268 0.119 0.163
O10 0.768 0.619 0.337
O11 0.732 0.881 0.837
O12 0.232 0.381 0.663
O13 0.580 0.322 0.053
O14 0.080 0.822 0.447
O15 0.420 0.678 0.947
O16 0.920 0.178 0.553
O17 0.086 0.367 0.053
O18 0.586 0.867 0.447
O19 0.914 0.633 0.947
O20 0.414 0.133 0.553
O21 0.011 0.291 0.857
O22 0.511 0.791 0.643
O23 0.989 0.709 0.143
O24 0.489 0.209 0.357
O25 0.515 0.307 0.864
O26 0.015 0.807 0.636
O27 0.485 0.693 0.136
O28 0.985 0.193 0.364

Computed properties:
**Density**: 4.46 g/cm3
**Raw formation energy**: -29.06 eV per formula unit
**Symmetry**: No. 14
**Crystal system**: monoclinic
**V**: 620 Å³/cell

The following is a SCAN calculation of a crystal of Ta6TiTl2O18 relaxed with PBEsol, from the Alexandria database.

Cell lengths 7.545, 7.545, 8.276 Å; angles 89.99, 89.99, 60.00 degrees
Positions (direct):
Ta1 0.171 0.662 0.153
Ta2 0.669 0.163 0.153
Ta3 0.171 0.164 0.153
Ta4 0.837 0.331 0.847
Ta5 0.338 0.829 0.847
Ta6 0.836 0.829 0.847
Ti1 0.004 0.996 0.500
Tl1 0.337 0.330 0.724
Tl2 0.670 0.663 0.276
O1 0.453 0.097 0.160
O2 0.104 0.446 0.159
O3 0.453 0.446 0.160
O4 0.554 0.896 0.841
O5 0.903 0.547 0.840
O6 0.554 0.547 0.840
O7 0.861 0.281 0.101
O8 0.288 0.854 0.101
O9 0.862 0.854 0.101
O10 0.146 0.712 0.899
O11 0.719 0.139 0.899
O12 0.146 0.138 0.899
O13 0.124 0.755 0.363
O14 0.762 0.117 0.363
O15 0.124 0.117 0.362
O16 0.883 0.238 0.637
O17 0.245 0.876 0.637
O18 0.883 0.876 0.638

Computed properties:
**Density**: 7.45 g/cm3
**Raw formation energy**: -77.09 eV per formula unit
**Symmetry**: No. 164
**Crystal system**: trigonal
**V**: 408 Å³/cell

The following is a SCAN calculation of a crystal of BaLiIr2F relaxed with PBEsol, from the Alexandria database.

Cell lengths 4.345, 4.559, 4.559 Å; angles 90.00, 90.00, 90.00 degrees
Positions (direct):
Ir1 0.000 0.000 0.500
Ir2 0.000 0.500 0.000
Li1 0.500 0.000 0.000
Ba1 0.500 0.500 0.500
F1 0.000 0.000 0.000

Computed properties:
**Density**: 10.07 g/cm3
**Raw formation energy**: 1.39 eV per formula unit
**Symmetry**: No. 123
**Crystal system**: tetragonal
**V**: 90 Å³/cell

The following is a SCAN calculation of a crystal of NbPtW2Au relaxed with PBEsol, from the Alexandria database.

Cell lengths 4.724, 4.724, 4.753 Å; angles 90.00, 90.00, 90.00 degrees
Positions (direct):
Nb1 0.500 0.500 0.500
Au1 0.000 0.000 0.000
W1 0.000 0.500 0.000
W2 0.500 0.000 0.000
Pt1 0.000 0.000 0.500

Computed properties:
**ΔH_f (0 K)**: 2224 meV/atom
**Density**: 13.35 g/cm3
**Symmetry**: No. 123
**Crystal system**: tetragonal
**V**: 106 Å³/cell

The following is a SCAN calculation of a crystal of Cr2TcRu relaxed with PBEsol, from the Alexandria database.

Cell lengths 3.667, 3.667, 4.557 Å; angles 113.72, 113.72, 90.00 degrees
Positions (direct):
Cr1 0.000 0.000 0.000
Cr2 0.750 0.250 0.500
Ru1 0.500 0.500 0.000
Tc1 0.250 0.750 0.500

Computed properties:
**ΔH_f (0 K)**: 195 meV/atom
**Density**: 9.99 g/cm3
**Symmetry**: No. 119
**Crystal system**: tetragonal
**V**: 50 Å³/cell

The following is a SCAN calculation of a crystal of Cr2ReW relaxed with PBEsol, from the Alexandria database.

Cell lengths 3.008, 4.153, 4.283 Å; angles 90.00, 90.00, 90.00 degrees
Last column: magnetic moment on the atom in μB.
Positions (direct):
Re1 0.500 0.500 0.000  -0.03
W1 0.000 0.500 0.500  0.04
Cr1 0.000 0.000 0.000  0.19
Cr2 0.500 0.000 0.500  -0.11

Computed properties:
**ΔH_f (0 K)**: 35 meV/atom
**Density**: 14.71 g/cm3
**Symmetry**: No. 47
**Crystal system**: orthorhombic
**V**: 53 Å³/cell

The following is a SCAN calculation of a crystal of Sr2CaAg2 relaxed with PBEsol, from the Alexandria database.

Cell lengths 4.535, 8.284, 8.284 Å; angles 90.00, 90.00, 90.00 degrees
Positions (direct):
Sr1 0.500 0.169 0.669
Sr2 0.500 0.669 0.831
Sr3 0.500 0.831 0.331
Sr4 0.500 0.331 0.169
Ca1 0.000 0.000 0.000
Ca2 0.000 0.500 0.500
Ag1 0.000 0.377 0.877
Ag2 0.000 0.877 0.623
Ag3 0.000 0.623 0.123
Ag4 0.000 0.123 0.377

Computed properties:
**ΔH_f (0 K)**: -282 meV/atom
**Density**: 4.60 g/cm3
**Symmetry**: No. 127
**Crystal system**: tetragonal
**V**: 311 Å³/cell

The following is a SCAN calculation of a crystal of ZnPb4 relaxed with PBEsol, from the Alexandria database.

Cell lengths 3.484, 6.437, 6.437 Å; angles 85.80, 74.30, 74.30 degrees
Positions (direct):
Pb1 0.576 0.197 0.651
Pb2 0.773 0.651 0.803
Pb3 0.424 0.803 0.349
Pb4 0.227 0.349 0.197
Zn1 0.000 0.000 0.000

Computed properties:
**ΔH_f (0 K)**: 103 meV/atom
**Density**: 11.10 g/cm3
**Symmetry**: No. 87
**Crystal system**: tetragonal
**V**: 134 Å³/cell

The following is a SCAN calculation of a crystal of Zr2TeIr relaxed with PBEsol, from the Alexandria database.

Cell lengths 3.394, 3.394, 8.928 Å; angles 79.04, 79.04, 60.00 degrees
Positions (direct):
Ir1 0.493 0.493 0.521
Te1 0.247 0.247 0.260
Zr1 0.997 0.997 0.008
Zr2 0.763 0.763 0.711

Computed properties:
**Density**: 9.60 g/cm3
**Raw formation energy**: -0.66 eV per formula unit
**Symmetry**: No. 160
**Crystal system**: trigonal
**V**: 87 Å³/cell

The following is a SCAN calculation of a crystal of Er2TlZn relaxed with PBEsol, from the Alexandria database.

Cell lengths 5.081, 5.081, 5.081 Å; angles 60.00, 60.00, 60.00 degrees
Positions (direct):
Tl1 0.000 0.000 0.000
Zn1 0.500 0.500 0.500
Er1 0.250 0.250 0.250
Er2 0.750 0.750 0.750

Computed properties:
**ΔH_f (0 K)**: -472 meV/atom
**Density**: 10.82 g/cm3
**Symmetry**: No. 225
**Crystal system**: cubic
**V**: 93 Å³/cell

The following is a SCAN calculation of a crystal of KBeFe2 relaxed with PBEsol, from the Alexandria database.

Cell lengths 2.532, 4.697, 4.857 Å; angles 90.00, 90.00, 90.00 degrees
Last column: magnetic moment on the atom in μB.
Positions (direct):
Be1 0.000 0.500 0.500  -0.11
K1 0.500 0.500 0.000  -0.06
Fe1 0.000 0.000 0.000  2.80
Fe2 0.500 0.000 0.500  2.86

Computed properties:
**ΔH_f (0 K)**: 1245 meV/atom
**Density**: 4.59 g/cm3
**Symmetry**: No. 47
**Crystal system**: orthorhombic
**V**: 58 Å³/cell

The following is a SCAN calculation of a crystal of Li2CaTa2O7 relaxed with PBEsol, from the Alexandria database.

Cell lengths 5.437, 5.511, 18.163 Å; angles 90.00, 90.00, 90.00 degrees
Positions (direct):
Li1 0.748 0.491 0.987
Li2 0.252 0.509 0.487
Li3 0.248 0.009 0.487
Li4 0.752 0.991 0.987
Li5 0.252 0.509 0.013
Li6 0.748 0.491 0.513
Li7 0.752 0.991 0.513
Li8 0.248 0.009 0.013
Ca1 0.998 0.204 0.250
Ca2 0.002 0.796 0.750
Ca3 0.498 0.296 0.750
Ca4 0.502 0.704 0.250
Ta1 0.499 0.759 0.638
Ta2 0.501 0.241 0.138
Ta3 0.999 0.741 0.138
Ta4 0.001 0.259 0.638
Ta5 0.501 0.241 0.362
Ta6 0.499 0.759 0.862
Ta7 0.001 0.259 0.862
Ta8 0.999 0.741 0.362
O1 0.080 0.772 0.250
O2 0.920 0.228 0.750
O3 0.580 0.728 0.750
O4 0.420 0.272 0.250
O5 0.049 0.257 0.964
O6 0.951 0.743 0.464
O7 0.549 0.243 0.464
O8 0.451 0.757 0.964
O9 0.951 0.743 0.036
O10 0.049 0.257 0.536
O11 0.451 0.757 0.536
O12 0.549 0.243 0.036
O13 0.206 0.043 0.368
O14 0.794 0.957 0.868
O15 0.706 0.457 0.868
O16 0.294 0.543 0.368
O17 0.794 0.957 0.632
O18 0.206 0.043 0.132
O19 0.294 0.543 0.132
O20 0.706 0.457 0.632
O21 0.217 0.532 0.665
O22 0.783 0.468 0.165
O23 0.717 0.968 0.165
O24 0.283 0.032 0.665
O25 0.783 0.468 0.335
O26 0.217 0.532 0.835
O27 0.283 0.032 0.835
O28 0.717 0.968 0.335

Computed properties:
**Density**: 6.44 g/cm3
**Raw formation energy**: -36.40 eV per formula unit
**Symmetry**: No. 62
**Crystal system**: orthorhombic
**V**: 544 Å³/cell

The following is a SCAN calculation of a crystal of LiTiPd2 relaxed with PBEsol, from the Alexandria database.

Cell lengths 4.301, 4.301, 4.301 Å; angles 60.00, 60.00, 60.00 degrees
Positions (direct):
Ti1 0.500 0.500 0.500
Pd1 0.750 0.750 0.750
Pd2 0.250 0.250 0.250
Li1 0.000 0.000 0.000

Computed properties:
**ΔH_f (0 K)**: -586 meV/atom
**Density**: 7.90 g/cm3
**Symmetry**: No. 225
**Crystal system**: cubic
**V**: 56 Å³/cell

The following is a SCAN calculation of a crystal of ScSbIr2 relaxed with PBEsol, from the Alexandria database.

Cell lengths 4.557, 4.557, 4.557 Å; angles 60.00, 60.00, 60.00 degrees
Last column: magnetic moment on the atom in μB.
Positions (direct):
Ir1 0.250 0.250 0.250  0.69
Ir2 0.750 0.750 0.750  0.69
Sb1 0.000 0.000 0.000  0.07
Sc1 0.500 0.500 0.500  0.03

Computed properties:
**Density**: 13.67 g/cm3
**Raw formation energy**: -1.92 eV per formula unit
**Symmetry**: No. 225
**Crystal system**: cubic
**V**: 67 Å³/cell

The following is a SCAN calculation of a crystal of Y5Ag24 relaxed with PBEsol, from the Alexandria database.

Cell lengths 8.871, 8.871, 8.871 Å; angles 109.47, 109.47, 109.47 degrees
Positions (direct):
Ag1 0.625 0.815 0.625
Ag2 0.810 0.185 0.810
Ag3 0.190 0.000 0.375
Ag4 0.375 0.000 0.190
Ag5 0.815 0.625 0.625
Ag6 0.185 0.810 0.810
Ag7 0.000 0.375 0.190
Ag8 0.000 0.190 0.375
Ag9 0.625 0.625 0.815
Ag10 0.810 0.810 0.185
Ag11 0.375 0.190 0.000
Ag12 0.190 0.375 0.000
Ag13 0.600 0.274 0.600
Ag14 0.326 0.726 0.326
Ag15 0.674 0.000 0.400
Ag16 0.400 0.000 0.674
Ag17 0.274 0.600 0.600
Ag18 0.726 0.326 0.326
Ag19 0.000 0.400 0.674
Ag20 0.000 0.674 0.400
Ag21 0.600 0.600 0.274
Ag22 0.326 0.326 0.726
Ag23 0.400 0.674 0.000
Ag24 0.674 0.400 0.000
Y1 0.377 0.377 0.377
Y2 0.000 0.623 0.000
Y3 0.000 0.000 0.623
Y4 0.623 0.000 0.000
Y5 0.000 0.000 0.000

Computed properties:
**ΔH_f (0 K)**: -152 meV/atom
**Density**: 9.37 g/cm3
**Symmetry**: No. 217
**Crystal system**: cubic
**V**: 537 Å³/cell

The following is a SCAN calculation of a crystal of MgHgOs3 relaxed with PBEsol, from the Alexandria database.

Cell lengths 4.458, 4.458, 4.458 Å; angles 90.00, 90.00, 90.00 degrees
Last column: magnetic moment on the atom in μB.
Positions (direct):
Mg1 0.000 0.000 0.000  -0.01
Os1 0.000 0.500 0.000  0.56
Os2 0.000 0.000 0.500  0.56
Os3 0.500 0.000 0.000  0.56
Hg1 0.500 0.500 0.500  -0.02

Computed properties:
**ΔH_f (0 K)**: 2415 meV/atom
**Density**: 14.91 g/cm3
**Symmetry**: No. 221
**Crystal system**: cubic
**V**: 89 Å³/cell